No. 1
Here is crystalline EuCo2Ge2 at its relaxed geometry from the Alexandria database. Energies are from PBEsol.

Properties
D(E_F) ... 1.5892 states/eV/atom
Symmetry ... I4/mmm (139)
Total magnetic moment ... 7.0 Bohr magnetons per cell
Density ... 8.6 g/cm3
E ... -7.7551 eV/atom

a b c (Å): 5.858 5.858 5.858
angles (deg): 140.77 140.77 56.69
Atoms (fractional coordinates):
Eu 0.000 0.000 0.000
Co 0.250 0.750 0.500
Co 0.750 0.250 0.500
Ge 0.368 0.368 0.000
Ge 0.632 0.632 0.000



No. 2
Here is crystalline Li2VPO5 at its relaxed geometry from the Alexandria database. Energies are from PBEsol.

Properties
D(E_F) ... 0.0539 states/eV/atom
Symmetry ... P-1 (2)
ΔE_f (raw) ... -2278 meV per atom
Relative energy among the computed polymorphs ... 0.052 eV per formula unit
Total magnetic moment ... 8.0 Bohr magnetons per cell
Density ... 3.3 g/cm3
E ... -7.3454 eV/atom

a b c (Å): 7.023 7.219 7.681
angles (deg): 89.95 89.66 63.90
Atoms (fractional coordinates):
Li 0.000 0.000 0.000
Li 0.000 0.500 0.500
Li 0.253 0.125 0.559
Li 0.319 0.645 0.052
Li 0.361 0.416 0.553
Li 0.639 0.584 0.447
Li 0.681 0.355 0.948
Li 0.747 0.875 0.441
V 0.008 0.249 0.246
V 0.495 0.761 0.757
V 0.505 0.239 0.243
V 0.992 0.751 0.754
P 0.244 0.774 0.383
P 0.256 0.270 0.885
P 0.744 0.730 0.115
P 0.756 0.226 0.617
O 0.066 0.750 0.487
O 0.078 0.252 0.992
O 0.160 0.922 0.228
O 0.161 0.430 0.734
O 0.237 0.768 0.819
O 0.242 0.282 0.355
O 0.375 0.843 0.505
O 0.388 0.345 0.003
O 0.395 0.066 0.793
O 0.404 0.559 0.314
O 0.596 0.441 0.686
O 0.605 0.934 0.207
O 0.612 0.655 0.997
O 0.625 0.157 0.495
O 0.758 0.718 0.645
O 0.763 0.232 0.181
O 0.839 0.570 0.266
O 0.840 0.078 0.772
O 0.922 0.748 0.008
O 0.934 0.250 0.513



No. 3
Here is crystalline Na3Co4O8 at its relaxed geometry from the Alexandria database. Energies are from PBEsol.

Properties
D(E_F) ... 0.7613 states/eV/atom
Symmetry ... Pmmn (59)
ΔE_f (raw) ... -1324 meV per atom
Total magnetic moment ... 2.3 Bohr magnetons per cell
Density ... 4.8 g/cm3
E ... -6.4669 eV/atom

a b c (Å): 2.851 10.716 9.714
angles (deg): 90.00 90.00 90.00
Atoms (fractional coordinates):
Na 0.250 0.250 0.006
Na 0.250 0.750 0.353
Na 0.250 0.750 0.695
Na 0.750 0.250 0.305
Na 0.750 0.250 0.647
Na 0.750 0.750 0.994
Co 0.250 0.005 0.376
Co 0.250 0.495 0.376
Co 0.250 0.503 0.874
Co 0.250 0.997 0.874
Co 0.750 0.003 0.126
Co 0.750 0.497 0.126
Co 0.750 0.505 0.624
Co 0.750 0.995 0.624
O 0.250 0.083 0.707
O 0.250 0.097 0.207
O 0.250 0.403 0.207
O 0.250 0.417 0.707
O 0.250 0.587 0.045
O 0.250 0.591 0.537
O 0.250 0.909 0.537
O 0.250 0.913 0.045
O 0.750 0.087 0.955
O 0.750 0.091 0.463
O 0.750 0.409 0.463
O 0.750 0.413 0.955
O 0.750 0.583 0.293
O 0.750 0.597 0.793
O 0.750 0.903 0.793
O 0.750 0.917 0.293



No. 4
Here is crystalline Be3NiH at its relaxed geometry from the Alexandria database. Energies are from PBEsol.

Properties
D(E_F) ... 0.1679 states/eV/atom
Symmetry ... Pm-3m (221)
Total magnetic moment ... 0.0 Bohr magnetons per cell
Density ... 4.1 g/cm3
E ... -4.3864 eV/atom

a b c (Å): 3.283 3.283 3.283
angles (deg): 90.00 90.00 90.00
Atoms (fractional coordinates):
Be 0.000 0.000 0.500
Be 0.000 0.500 0.000
Be 0.500 0.000 0.000
Ni 0.500 0.500 0.500
H 0.000 0.000 0.000



No. 5
Here is crystalline Rb7Fe2O8 at its relaxed geometry from the Alexandria database. Energies are from PBEsol.

Properties
D(E_F) ... 0.4681 states/eV/atom
Symmetry ... P2_1/c (14)
ΔE_f (raw) ... -1402 meV per atom
Total magnetic moment ... 28.0 Bohr magnetons per cell
Density ... 4.1 g/cm3
E ... -5.3489 eV/atom

a b c (Å): 6.421 10.306 20.375
angles (deg): 90.00 93.64 90.00
Atoms (fractional coordinates):
Rb 0.089 0.041 0.137
Rb 0.089 0.459 0.637
Rb 0.097 0.669 0.804
Rb 0.097 0.831 0.304
Rb 0.209 0.055 0.452
Rb 0.209 0.445 0.952
Rb 0.286 0.704 0.139
Rb 0.286 0.796 0.639
Rb 0.299 0.114 0.967
Rb 0.299 0.386 0.467
Rb 0.385 0.005 0.785
Rb 0.385 0.495 0.285
Rb 0.404 0.165 0.615
Rb 0.404 0.335 0.115
Rb 0.596 0.665 0.885
Rb 0.596 0.835 0.385
Rb 0.615 0.505 0.715
Rb 0.615 0.995 0.215
Rb 0.701 0.614 0.533
Rb 0.701 0.886 0.033
Rb 0.714 0.204 0.361
Rb 0.714 0.296 0.861
Rb 0.791 0.555 0.048
Rb 0.791 0.945 0.548
Rb 0.903 0.169 0.696
Rb 0.903 0.331 0.196
Rb 0.911 0.541 0.363
Rb 0.911 0.959 0.863
Fe 0.214 0.161 0.295
Fe 0.214 0.339 0.795
Fe 0.220 0.719 0.475
Fe 0.220 0.781 0.975
Fe 0.780 0.219 0.025
Fe 0.780 0.281 0.525
Fe 0.786 0.661 0.205
Fe 0.786 0.839 0.705
O 0.010 0.203 0.557
O 0.010 0.297 0.057
O 0.025 0.587 0.228
O 0.025 0.913 0.728
O 0.134 0.207 0.842
O 0.134 0.293 0.342
O 0.232 0.609 0.539
O 0.232 0.891 0.039
O 0.296 0.639 0.405
O 0.296 0.861 0.905
O 0.363 0.227 0.234
O 0.363 0.273 0.734
O 0.376 0.034 0.326
O 0.376 0.466 0.826
O 0.395 0.663 0.007
O 0.395 0.837 0.507
O 0.605 0.163 0.493
O 0.605 0.337 0.993
O 0.624 0.534 0.174
O 0.624 0.966 0.674
O 0.637 0.727 0.266
O 0.637 0.773 0.766
O 0.704 0.139 0.095
O 0.704 0.361 0.595
O 0.768 0.109 0.961
O 0.768 0.391 0.461
O 0.866 0.707 0.658
O 0.866 0.793 0.158
O 0.975 0.087 0.272
O 0.975 0.413 0.772
O 0.990 0.703 0.943
O 0.990 0.797 0.443



No. 6
Here is crystalline Fe2Hg2Pb at its relaxed geometry from the Alexandria database. Energies are from PBEsol.

Properties
D(E_F) ... 0.7489 states/eV/atom
Symmetry ... I4/mmm (139)
Total magnetic moment ... 4.9 Bohr magnetons per cell
Density ... 12.1 g/cm3
E ... -4.2113 eV/atom

a b c (Å): 9.275 9.275 9.275
angles (deg): 159.35 159.35 29.36
Atoms (fractional coordinates):
Fe 0.250 0.750 0.500
Fe 0.750 0.250 0.500
Hg 0.128 0.128 0.000
Hg 0.872 0.872 0.000
Pb 0.500 0.500 0.000



No. 7
Here is crystalline PrSe2 at its relaxed geometry from the Alexandria database. Energies are from PBEsol.

Properties
D(E_F) ... 0.1141 states/eV/atom
Symmetry ... P-4b2 (117)
ΔE_f (raw) ... -1669 meV per atom
Total magnetic moment ... 0.0 Bohr magnetons per cell
Density ... 6.8 g/cm3
E ... -5.9639 eV/atom

a b c (Å): 8.273 8.273 8.518
angles (deg): 90.00 90.00 90.00
Atoms (fractional coordinates):
Pr 0.007 0.249 0.274
Pr 0.249 0.993 0.726
Pr 0.251 0.493 0.726
Pr 0.493 0.749 0.274
Pr 0.507 0.251 0.274
Pr 0.749 0.507 0.726
Pr 0.751 0.007 0.726
Pr 0.993 0.751 0.274
Se 0.000 0.000 0.000
Se 0.000 0.500 0.000
Se 0.001 0.250 0.633
Se 0.231 0.731 0.000
Se 0.250 0.499 0.367
Se 0.250 0.999 0.367
Se 0.269 0.231 0.000
Se 0.499 0.750 0.633
Se 0.500 0.000 0.000
Se 0.500 0.500 0.000
Se 0.501 0.250 0.633
Se 0.731 0.769 0.000
Se 0.750 0.001 0.367
Se 0.750 0.501 0.367
Se 0.769 0.269 0.000
Se 0.999 0.750 0.633



No. 8
Here is crystalline AlNi2Ag at its relaxed geometry from the Alexandria database. Energies are from PBEsol.

Properties
D(E_F) ... 0.6454 states/eV/atom
Symmetry ... Pmm2 (25)
Total magnetic moment ... 0.0 Bohr magnetons per cell
Density ... 8.3 g/cm3
E ... -5.0690 eV/atom

a b c (Å): 2.729 3.375 5.512
angles (deg): 90.00 90.00 90.00
Atoms (fractional coordinates):
Al 0.000 0.000 0.000
Ni 0.000 0.000 0.438
Ni 0.500 0.500 0.213
Ag 0.500 0.500 0.705



No. 9
Here is crystalline NiH4N2 at its relaxed geometry from the Alexandria database. Energies are from PBEsol.

Properties
Symmetry ... Pm-3 (200)
Total magnetic moment ... 0.2 Bohr magnetons per cell
Density ... 2.4 g/cm3
E ... -5.4739 eV/atom

a b c (Å): 10.440 10.440 10.440
angles (deg): 90.00 90.00 90.00
Atoms (fractional coordinates):
Ni 0.000 0.187 0.500
Ni 0.000 0.365 0.134
Ni 0.000 0.365 0.866
Ni 0.000 0.635 0.134
Ni 0.000 0.635 0.866
Ni 0.000 0.813 0.500
Ni 0.134 0.000 0.365
Ni 0.134 0.000 0.635
Ni 0.187 0.500 0.000
Ni 0.365 0.134 0.000
Ni 0.365 0.866 0.000
Ni 0.500 0.000 0.187
Ni 0.500 0.000 0.813
Ni 0.635 0.134 0.000
Ni 0.635 0.866 0.000
Ni 0.813 0.500 0.000
Ni 0.866 0.000 0.365
Ni 0.866 0.000 0.635
H 0.000 0.080 0.184
H 0.000 0.080 0.816
H 0.000 0.920 0.184
H 0.000 0.920 0.816
H 0.078 0.500 0.315
H 0.078 0.500 0.685
H 0.080 0.184 0.000
H 0.080 0.816 0.000
H 0.099 0.228 0.289
H 0.099 0.228 0.711
H 0.099 0.772 0.289
H 0.099 0.772 0.711
H 0.184 0.000 0.080
H 0.184 0.000 0.920
H 0.212 0.223 0.399
H 0.212 0.223 0.601
H 0.212 0.777 0.399
H 0.212 0.777 0.601
H 0.223 0.399 0.212
H 0.223 0.399 0.788
H 0.223 0.601 0.212
H 0.223 0.601 0.788
H 0.228 0.289 0.099
H 0.228 0.289 0.901
H 0.228 0.711 0.099
H 0.228 0.711 0.901
H 0.289 0.099 0.228
H 0.289 0.099 0.772
H 0.289 0.901 0.228
H 0.289 0.901 0.772
H 0.315 0.078 0.500
H 0.315 0.922 0.500
H 0.399 0.212 0.223
H 0.399 0.212 0.777
H 0.399 0.788 0.223
H 0.399 0.788 0.777
H 0.500 0.315 0.078
H 0.500 0.315 0.922
H 0.500 0.685 0.078
H 0.500 0.685 0.922
H 0.601 0.212 0.223
H 0.601 0.212 0.777
H 0.601 0.788 0.223
H 0.601 0.788 0.777
H 0.685 0.078 0.500
H 0.685 0.922 0.500
H 0.711 0.099 0.228
H 0.711 0.099 0.772
H 0.711 0.901 0.228
H 0.711 0.901 0.772
H 0.772 0.289 0.099
H 0.772 0.289 0.901
H 0.772 0.711 0.099
H 0.772 0.711 0.901
H 0.777 0.399 0.212
H 0.777 0.399 0.788
H 0.777 0.601 0.212
H 0.777 0.601 0.788
H 0.788 0.223 0.399
H 0.788 0.223 0.601
H 0.788 0.777 0.399
H 0.788 0.777 0.601
H 0.816 0.000 0.080
H 0.816 0.000 0.920
H 0.901 0.228 0.289
H 0.901 0.228 0.711
H 0.901 0.772 0.289
H 0.901 0.772 0.711
H 0.920 0.184 0.000
H 0.920 0.816 0.000
H 0.922 0.500 0.315
H 0.922 0.500 0.685
N 0.000 0.000 0.242
N 0.000 0.000 0.758
N 0.000 0.242 0.000
N 0.000 0.500 0.254
N 0.000 0.500 0.746
N 0.000 0.758 0.000
N 0.127 0.181 0.372
N 0.127 0.181 0.628
N 0.127 0.819 0.372
N 0.127 0.819 0.628
N 0.181 0.372 0.127
N 0.181 0.372 0.873
N 0.181 0.628 0.127
N 0.181 0.628 0.873
N 0.242 0.000 0.000
N 0.254 0.000 0.500
N 0.372 0.127 0.181
N 0.372 0.127 0.819
N 0.372 0.873 0.181
N 0.372 0.873 0.819
N 0.500 0.254 0.000
N 0.500 0.746 0.000
N 0.628 0.127 0.181
N 0.628 0.127 0.819
N 0.628 0.873 0.181
N 0.628 0.873 0.819
N 0.746 0.000 0.500
N 0.758 0.000 0.000
N 0.819 0.372 0.127
N 0.819 0.372 0.873
N 0.819 0.628 0.127
N 0.819 0.628 0.873
N 0.873 0.181 0.372
N 0.873 0.181 0.628
N 0.873 0.819 0.372
N 0.873 0.819 0.628



No. 10
Here is crystalline ZrMo2BrN at its relaxed geometry from the Alexandria database. Energies are from PBEsol.

Properties
D(E_F) ... 1.1697 states/eV/atom
Symmetry ... P4/mmm (123)
ΔE_f (raw) ... 2207 meV per atom
Total magnetic moment ... 0.0 Bohr magnetons per cell
Density ... 6.3 g/cm3
E ... -6.3970 eV/atom

a b c (Å): 4.481 4.481 4.921
angles (deg): 90.00 90.00 90.00
Atoms (fractional coordinates):
Zr 0.000 0.000 0.000
Mo 0.000 0.500 0.500
Mo 0.500 0.000 0.500
Br 0.000 0.000 0.500
N 0.500 0.500 0.000



No. 11
Here is crystalline GaNi2 at its relaxed geometry from the Alexandria database. Energies are from PBEsol.

Properties
D(E_F) ... 1.0305 states/eV/atom
Symmetry ... P-3m1 (164)
Total magnetic moment ... 0.0 Bohr magnetons per cell
Density ... 8.9 g/cm3
E ... -5.3463 eV/atom

a b c (Å): 2.639 2.639 5.764
angles (deg): 90.00 90.00 120.00
Atoms (fractional coordinates):
Ga 0.000 0.000 0.000
Ni 0.333 0.667 0.331
Ni 0.667 0.333 0.669



No. 12
Here is crystalline AlSi2Ni at its relaxed geometry from the Alexandria database. Energies are from PBEsol.

Properties
D(E_F) ... 0.4956 states/eV/atom
Symmetry ... P4/mmm (123)
ΔE_f (raw) ... -16 meV per atom
Total magnetic moment ... 0.0 Bohr magnetons per cell
Density ... 4.6 g/cm3
E ... -5.4515 eV/atom

a b c (Å): 3.712 3.712 3.722
angles (deg): 90.00 90.00 90.00
Atoms (fractional coordinates):
Al 0.000 0.000 0.000
Si 0.000 0.500 0.500
Si 0.500 0.000 0.500
Ni 0.500 0.500 0.000